Na2CrNiF7: optimized geometry, PBE+U.

Properties
**Final energy**: -4.989 eV per atom
**Space-group type**: No. 74
**Magnetic moment**: 10.0 Bohr magnetons per cell

Lattice parameters (Å, degrees): 7.3689 7.3689 7.3689 120.84 118.66 90.44
Closest atoms and distances in Å follow each position.
Atoms (fractional coordinates):
Na (0.5000, 0.5000, 0.0000)  2 F 2.24
Na (0.0000, 0.0000, 0.0000)  2 F 2.24
Na (0.5000, 0.5000, 0.5000)  4 F 2.46
Na (0.5000, 0.0000, 0.0000)  4 F 2.46
Cr (0.0000, 0.5000, 0.5000)  6 F 1.95-1.97
Cr (0.5000, 0.0000, 0.5000)  6 F 1.95-1.97
Ni (0.0000, 0.5000, 0.0000)  6 F 1.98-2.01
Ni (0.0000, 0.0000, 0.5000)  6 F 1.98-2.01
F (0.3616, 0.0911, 0.2705)  1 Cr 1.97
F (0.8975, 0.7500, 0.1475)  2 Ni 1.98
F (0.3213, 0.0839, 0.6371)  1 Cr 1.95, 1 Ni 2.01
F (0.6787, 0.9161, 0.3629)  1 Cr 1.95, 1 Ni 2.01
F (0.0532, 0.4161, 0.2374)  1 Cr 1.95, 1 Ni 2.01
F (0.9468, 0.5839, 0.7626)  1 Cr 1.95, 1 Ni 2.01
F (0.6794, 0.4089, 0.2705)  1 Cr 1.97
F (0.6384, 0.9089, 0.7295)  1 Cr 1.97
F (0.1025, 0.2500, 0.8525)  2 Ni 1.98
F (0.0532, 0.8158, 0.6371)  1 Cr 1.95, 1 Ni 2.01
F (0.9468, 0.1842, 0.3629)  1 Cr 1.95, 1 Ni 2.01
F (0.3213, 0.6842, 0.2374)  1 Cr 1.95, 1 Ni 2.01
F (0.3206, 0.5911, 0.7295)  1 Cr 1.97
F (0.6787, 0.3158, 0.7626)  1 Cr 1.95, 1 Ni 2.01